Record 1
Material: Y3Mg3ZnCuAg
Method: DFT, PBE-GGA
State: relaxed

a = 7.5544 Å, b = 7.5544 Å, c = 4.1014 Å
α = 90.00°, β = 90.00°, γ = 120.00°
Space group P-6 (No. 174)
Inequivalent atoms, fractional coordinates:
Y 0.0044 0.5947 0.0000 (multiplicity 3)
Mg 0.0017 0.2405 0.5000 (multiplicity 3)
Zn 0.3333 0.6667 0.5000 (multiplicity 1)
Cu 0.0000 0.0000 0.0000 (multiplicity 1)
Ag 0.6667 0.3333 0.5000 (multiplicity 1)

## Properties
total energy	-0.2799	Ry/atom

Record 2
Material: CuAg2Mo
Method: DFT, PBE-GGA
State: relaxed

a = 6.328 Å, b = 6.328 Å, c = 6.328 Å
α = 90.00°, β = 90.00°, γ = 90.00°
Space group F-43m (No. 216)
Inequivalent atoms, fractional coordinates:
Cu 0.000 0.000 0.000 (multiplicity 4)
Ag 0.000 0.000 0.500 (multiplicity 4)
Ag 0.250 0.250 0.250 (multiplicity 4)
Mo 0.250 0.250 0.750 (multiplicity 4)

## Properties
formation energy	0.62	eV/atom

Record 3
Material: CuSiAgMo
Method: DFT, PBE-GGA
State: relaxed

a = 6.169 Å, b = 6.169 Å, c = 6.169 Å
α = 90.00°, β = 90.00°, γ = 90.00°
Space group F-43m (No. 216)
Inequivalent atoms, fractional coordinates:
Cu 0.000 0.000 0.000 (multiplicity 4)
Si 0.250 0.250 0.750 (multiplicity 4)
Ag 0.250 0.250 0.250 (multiplicity 4)
Mo 0.000 0.000 0.500 (multiplicity 4)

## Properties
energy above the most stable polymorph in this dataset	0.000	eV per atom

Record 4
Material: Sr4CuAgN2
Method: DFT, PBE-GGA
State: relaxed

a = 5.231 Å, b = 3.794 Å, c = 19.261 Å
α = 90.00°, β = 90.00°, γ = 90.00°
Space group Amm2 (No. 38)
Inequivalent atoms, fractional coordinates:
Sr 0.000 0.000 0.000 (multiplicity 2)
Sr 0.000 0.000 0.184 (multiplicity 2)
Sr 0.500 0.000 0.612 (multiplicity 2)
Sr 0.500 0.000 0.797 (multiplicity 2)
Cu 0.500 0.000 0.431 (multiplicity 2)
Ag 0.000 0.000 0.364 (multiplicity 2)
N 0.000 0.000 0.590 (multiplicity 2)
N 0.500 0.000 0.206 (multiplicity 2)

## Properties
total energy	-0.3026	Ry/atom

Record 5
Material: Na4CuSi2Ag
Method: DFT, PBE-GGA
State: relaxed

a = 4.663 Å, b = 4.663 Å, c = 6.698 Å
α = 90.00°, β = 90.00°, γ = 90.00°
Space group P-4m2 (No. 115)
Inequivalent atoms, fractional coordinates:
Na 0.000 0.000 0.000 (multiplicity 1)
Na 0.000 0.500 0.741 (multiplicity 2)
Na 0.500 0.500 0.500 (multiplicity 1)
Cu 0.000 0.000 0.500 (multiplicity 1)
Si 0.000 0.500 0.263 (multiplicity 2)
Ag 0.500 0.500 0.000 (multiplicity 1)

## Properties
total energy	-0.1962	Ry/atom

Record 6
Material: Na4CuAgSn2
Method: DFT, PBE-GGA
State: relaxed

a = 4.938 Å, b = 4.938 Å, c = 7.049 Å
α = 90.00°, β = 90.00°, γ = 90.00°
Space group P-4m2 (No. 115)
Inequivalent atoms, fractional coordinates:
Na 0.000 0.000 0.000 (multiplicity 1)
Na 0.000 0.500 0.245 (multiplicity 2)
Na 0.500 0.500 0.500 (multiplicity 1)
Cu 0.500 0.500 0.000 (multiplicity 1)
Ag 0.000 0.000 0.500 (multiplicity 1)
Sn 0.000 0.500 0.761 (multiplicity 2)

## Properties
total energy	-0.1872	Ry/atom

Record 7
Material: Na2Tl4CuAg
Method: DFT, PBE-GGA
State: relaxed

a = 8.283 Å, b = 4.407 Å, c = 11.147 Å
α = 90.00°, β = 90.00°, γ = 90.00°
Space group Amm2 (No. 38)
Inequivalent atoms, fractional coordinates:
Na 0.000 0.000 0.000 (multiplicity 2)
Na 0.500 0.000 0.131 (multiplicity 2)
Tl 0.195 0.000 0.704 (multiplicity 4)
Tl 0.285 0.000 0.425 (multiplicity 4)
Cu 0.000 0.000 0.283 (multiplicity 2)
Ag 0.500 0.000 0.846 (multiplicity 2)

## Properties
total energy	-0.1707	Ry/atom

Record 8
Material: NbCuAg
Method: DFT, PBE-GGA
State: relaxed

a = 5.966 Å, b = 5.966 Å, c = 5.966 Å
α = 90.00°, β = 90.00°, γ = 90.00°
Space group F-43m (No. 216)
Inequivalent atoms, fractional coordinates:
Nb 0.000 0.000 0.000 (multiplicity 4)
Cu 0.250 0.250 0.750 (multiplicity 4)
Ag 0.000 0.000 0.500 (multiplicity 4)

## Properties
energy above the most stable polymorph in this dataset	0.000	eV per atom
formation energy	0.60	eV/atom

Record 9
Material: NbCuAg
Method: DFT, PBE-GGA
State: relaxed

a = 6.152 Å, b = 6.152 Å, c = 6.152 Å
α = 90.00°, β = 90.00°, γ = 90.00°
Space group F-43m (No. 216)
Inequivalent atoms, fractional coordinates:
Nb 0.000 0.000 0.000 (multiplicity 4)
Cu 0.250 0.250 0.750 (multiplicity 4)
Ag 0.250 0.250 0.250 (multiplicity 4)

## Properties
energy above the most stable polymorph in this dataset	0.332	eV per atom
formation energy	0.93	eV/atom

Record 10
Material: NbCuAg2
Method: DFT, PBE-GGA
State: relaxed

a = 6.391 Å, b = 6.391 Å, c = 6.391 Å
α = 90.00°, β = 90.00°, γ = 90.00°
Space group F-43m (No. 216)
Inequivalent atoms, fractional coordinates:
Nb 0.000 0.000 0.000 (multiplicity 4)
Cu 0.250 0.250 0.250 (multiplicity 4)
Ag 0.000 0.000 0.500 (multiplicity 4)
Ag 0.250 0.250 0.750 (multiplicity 4)

## Properties
formation energy	0.31	eV/atom